No. 1
## HfZn2Ag2 (GGA-PBE)

Data for an optimized crystal structure of HfZn2Ag2.

Output
relative energy among the computed polymorphs = 0.000 eV/atom
formation energy = 0.033 eV/atom
VASP energy = -3.608 eV/atom
magnetic moment = 0.00 μB per formula unit

Cell: 7.7184 7.7184 2.8976 Å, 90.00 90.00 90.00°
Space group P4/mbm (No. 127)
Inequivalent atoms, fractional coordinates:
Hf: 0.0000 0.0000 0.0000 x2
Zn: 0.1223 0.3777 0.0000 x4
Ag: 0.1754 0.6754 0.5000 x4

No. 2
## LiPtW2 (GGA-PBE)

Data for an optimized crystal structure of LiPtW2.

Output
relative energy among the computed polymorphs = 0.701 eV/atom
formation energy = 0.728 eV/atom
VASP energy = -7.737 eV/atom
magnetic moment = 0.00 μB per formula unit

Cell: 7.2354 7.2354 5.0862 Å, 90.00 90.00 90.00°
Space group I-42d (No. 122)
Inequivalent atoms, fractional coordinates:
Li: 0.0000 0.0000 0.0000 x4
Pt: 0.0000 0.0000 0.5000 x4
W: 0.2326 0.2500 0.6250 x8

No. 3
## Mg2AuCO (GGA-PBE)

Data for an optimized crystal structure of Mg2AuCO.

Output
VASP energy = -4.087 eV/atom
ΔE_f (raw) = 0.04 eV per atom
magnetic moment = 0.00 μB per formula unit

Cell: 4.4031 4.4031 3.9214 Å, 90.00 90.00 90.00°
Space group P4/mmm (No. 123)
Inequivalent atoms, fractional coordinates:
Mg: 0.0000 0.5000 0.0000 x2
Au: 0.0000 0.0000 0.5000 x1
C: 0.0000 0.0000 0.0000 x1
O: 0.5000 0.5000 0.5000 x1

No. 4
## SiOs2Pt (GGA-PBE)

Data for an optimized crystal structure of SiOs2Pt.

Output
VASP energy = -8.590 eV/atom
ΔE_f (raw) = -0.11 eV per atom
magnetic moment = 0.00 μB per formula unit

Cell: 8.9286 2.7666 10.7565 Å, 90.00 114.15 90.00°
Space group Cm (No. 8)
Inequivalent atoms, fractional coordinates:
Si: 0.0000 0.0000 0.0000 x2
Si: 0.1246 0.0000 0.3470 x2
Os: 0.1084 0.0000 0.6589 x2
Os: 0.2928 0.5000 0.5652 x2
Os: 0.4543 0.0000 0.4313 x2
Os: 0.4546 0.0000 0.7874 x2
Pt: 0.1965 0.5000 0.1893 x2
Pt: 0.2537 0.0000 0.9487 x2

No. 5
## SrMgCo2C (GGA-PBE)

Data for an optimized crystal structure of SrMgCo2C.

Output
formation energy = 0.471 eV/atom
VASP energy = -4.871 eV/atom
magnetic moment = 0.95 μB per formula unit

Cell: 4.1017 4.1017 4.3457 Å, 90.00 90.00 90.00°
Space group P4/mmm (No. 123)
Inequivalent atoms, fractional coordinates:
Sr: 0.0000 0.0000 0.0000 x1
Mg: 0.5000 0.5000 0.0000 x1
Co: 0.0000 0.5000 0.5000 x2
C: 0.5000 0.5000 0.5000 x1

No. 6
## TmHgOsO6 (GGA-PBE)

Data for an optimized crystal structure of TmHgOsO6.

Output
VASP energy = -6.546 eV/atom
ΔE_f (raw) = -1.46 eV per atom
magnetic moment = 0.00 μB per formula unit

Cell: 5.5163 5.5163 4.8128 Å, 90.00 90.00 120.00°
Space group P312 (No. 149)
Inequivalent atoms, fractional coordinates:
Tm: 0.0000 0.0000 0.0000 x1
Hg: 0.3333 0.6667 0.5000 x1
Os: 0.6667 0.3333 0.0000 x1
O: 0.3732 0.0597 0.7747 x6

No. 7
## Zr2FeOs (GGA-PBE)

Data for an optimized crystal structure of Zr2FeOs.

Output
formation energy = 0.103 eV/atom
VASP energy = -9.095 eV/atom
magnetic moment = 0.87 μB per formula unit

Cell: 3.1852 3.1852 24.1600 Å, 90.00 90.00 120.00°
Space group R-3m (No. 166, hexagonal axes)
Inequivalent atoms, fractional coordinates:
Zr: 0.0000 0.0000 0.2469 x6
Fe: 0.0000 0.0000 0.5000 x3
Os: 0.0000 0.0000 0.0000 x3

No. 8
## DyHo3Th2P6 (GGA-PBE)

Data for an optimized crystal structure of DyHo3Th2P6.

Output
formation energy = -1.600 eV/atom
VASP energy = -7.070 eV/atom
magnetic moment = 0.00 μB per formula unit

Cell: 17.6219 4.0557 8.0754 Å, 90.00 103.10 90.00°
Space group C2/m (No. 12)
Inequivalent atoms, fractional coordinates:
Dy: 0.0000 0.0000 0.0000 x2
Ho: 0.0000 0.0000 0.5000 x2
Ho: 0.1660 0.5000 0.8342 x4
Th: 0.1648 0.5000 0.3299 x4
P: 0.0021 0.5000 0.7502 x4
P: 0.1651 0.0000 0.5878 x4
P: 0.1667 0.0000 0.0772 x4